Record 1
# NpScBi2O8

A relaxed NpScBi2O8 crystal (PBE, Alexandria).

```
12
Lattice="5.202 -0.038 -0.003 -0.006 5.197 -0.006 0.004 0.008 6.848" Properties=species:S:1:pos:R:3 pbc="T T T"
Np 0.000 0.000 0.000
Sc 0.002 0.004 3.424
Bi 2.601 2.585 5.046
Bi 2.599 2.582 1.794
O 0.901 4.271 1.653
O 3.813 3.811 -0.006
O 4.296 0.892 1.654
O 4.298 0.896 5.187
O 1.387 1.356 6.846
O 0.903 4.275 5.185
O 3.665 3.654 3.418
O 1.535 1.514 3.422
```

Space group: P2/m, No. 10
Formation energy from raw total energies in meV/atom: -2161

---

Record 2
# Np2BiSe2O2

A relaxed Np2BiSe2O2 crystal (PBE, Alexandria).

```
7
Lattice="-3.677 0.203 -0.498 1.375 -0.955 3.317 0.235 13.579 3.814" Properties=species:S:1:pos:R:3 pbc="T T T"
Np -1.937 3.044 1.680
Np -0.130 9.783 4.953
Bi 0.000 0.000 0.000
Se 0.086 4.992 1.402
Se 0.148 8.587 2.412
O -1.805 10.678 3.824
O -0.262 2.150 2.809
```

Space group: P-3m1, No. 164
Formation energy from raw total energies in meV/atom: -1559

---

Record 3
# NpBiSe2O

A relaxed NpBiSe2O crystal (PBE, Alexandria).

```
10
Lattice="-0.826 -0.881 -3.913 -0.981 -3.830 1.069 -13.467 3.993 1.942" Properties=species:S:1:pos:R:3 pbc="T T T"
Np -8.227 1.876 -0.830
Np -6.144 -0.239 1.350
Bi -2.087 0.056 -1.715
Bi -12.283 1.582 2.235
Se -9.630 0.795 1.853
Se -1.916 -1.492 0.740
Se -12.455 3.130 -0.220
Se -4.740 0.843 -1.333
O -6.734 1.997 0.971
O -7.637 -0.359 -0.451
```

Space group: P4/nmm, No. 129
Formation energy from raw total energies in meV/atom: -1353

---

Record 4
# SmNpBi2O8

A relaxed SmNpBi2O8 crystal (PBE, Alexandria).

```
12
Lattice="-4.030 -3.227 -1.282 2.346 -3.996 2.603 -3.288 1.871 6.040" Properties=species:S:1:pos:R:3 pbc="T T T"
Sm -1.644 0.936 3.020
Np 0.000 0.000 0.000
Bi -3.358 -2.217 5.075
Bi -1.614 -3.134 2.286
O 0.358 -3.407 3.314
O -4.545 -3.502 7.020
O -3.652 -2.952 0.685
O -5.330 -1.945 4.047
O -0.427 -1.850 0.341
O -1.320 -2.400 6.676
O -2.805 -4.033 3.927
O -2.167 -1.318 3.433
```

Space group: C2/m, No. 12
Formation energy from raw total energies in meV/atom: -2193

---

no.,DFT total energy (eV per atom)
1,-7.72
2,-8.22
3,-7.10
4,-7.62